Entry 1:
A relaxed structure of TiAg2Au8. Source: the Alexandria database, functional PBE-GGA.

Values from the calculation:
Calculated formation energy in eV/atom: -0.017
Fermi-level density of states in states/eV/f.u.: 5.79
Calculated total energy in eV per cell: -39.998

a b c (Å): 7.154 7.154 4.239
angles (deg): 90.00 90.00 107.08
Sites, in units of the cell vectors:
Ti: 0.000 0.000 0.000
Ag: 0.380 0.620 0.500
Ag: 0.620 0.380 0.500
Au: 0.041 0.296 0.500
Au: 0.235 0.765 0.000
Au: 0.296 0.041 0.500
Au: 0.326 0.326 0.000
Au: 0.674 0.674 0.000
Au: 0.704 0.959 0.500
Au: 0.765 0.235 0.000
Au: 0.959 0.704 0.500



Entry 2:
A relaxed structure of UH11Rh5. Source: the Alexandria database, functional PBE-GGA.

Values from the calculation:
Fermi-level density of states in states/eV/f.u.: 8.76
Calculated total energy in eV per cell: -84.873

a b c (Å): 6.338 6.338 4.579
angles (deg): 90.39 90.39 125.59
Sites, in units of the cell vectors:
U: 0.000 0.000 0.000
H: 0.000 0.000 0.500
H: 0.092 0.620 0.680
H: 0.192 0.448 0.924
H: 0.380 0.908 0.320
H: 0.420 0.420 0.623
H: 0.448 0.192 0.924
H: 0.552 0.808 0.076
H: 0.580 0.580 0.377
H: 0.620 0.092 0.680
H: 0.808 0.552 0.076
H: 0.908 0.380 0.320
Rh: 0.125 0.376 0.540
Rh: 0.376 0.125 0.540
Rh: 0.500 0.500 0.000
Rh: 0.624 0.875 0.460
Rh: 0.875 0.624 0.460